[1]
TaNbAg2O6: relaxed, PBE.

Computed properties:
- V: 12.91 Å³/atom
- Formation energy from raw total energies: -1853 meV/atom

Lattice parameters (Å, degrees): 4.011 4.011 8.022 90.00 90.00 90.00
Space group P4/mmm (No. 123)
Asymmetric unit:
Ta  0.000  0.000  0.000 x1
Nb  0.000  0.000  0.500 x1
Ag  0.500  0.500  0.250 x2
O  0.000  0.000  0.249 x2
O  0.000  0.500  0.000 x2
O  0.000  0.500  0.500 x2

[2]
NbAgTeO5: relaxed, PBE.

Computed properties:
- V: 15.50 Å³/atom
- Formation energy from raw total energies: -1391 meV/atom

Lattice parameters (Å, degrees): 7.562 9.229 8.024 90.00 117.66 90.00
Space group C2/c (No. 15)
Asymmetric unit:
Nb  0.000  0.000  0.000 x4
Ag  0.000  0.321  0.250 x4
Te  0.000  0.302  0.750 x4
O  0.000  0.012  0.750 x4
O  0.051  0.215  0.524 x8
O  0.196  0.454  0.866 x8

[3]
Nb2AgTeO8: relaxed, PBE.

Computed properties:
- V: 13.02 Å³/atom
- Formation energy from raw total energies: -1648 meV/atom

Lattice parameters (Å, degrees): 6.868 7.052 6.453 90.00 90.00 90.00
Space group Cmmm (No. 65)
Asymmetric unit:
Nb  0.000  0.000  0.242 x4
Ag  0.000  0.500  0.000 x2
Te  0.000  0.500  0.500 x2
O  0.000  0.177  0.000 x4
O  0.000  0.199  0.500 x4
O  0.215  0.500  0.279 x8

What is the formula in the first record?
TaNbAg2O6

V of number 3 (Nb2AgTeO8)?
13.02 Å³/atom

V of number 1 (TaNbAg2O6)?
12.91 Å³/atom